# 1
This record from the Alexandria database describes a crystal of Cd3SiF relaxed with PBEsol. The functional is SCAN.

abc: 5.023 5.023 5.023
angles: 90.00 90.00 90.00
Space group Pm-3m (No. 221)
Unique sites:
Cd 0.000 0.000 0.500
Si 0.000 0.000 0.000
F 0.500 0.500 0.500

Final energy (eV/atom): -21.059

***

# 2
This record from the Alexandria database describes a crystal of Ta2ZnCdF relaxed with PBEsol. The functional is SCAN.

abc: 4.167 4.167 4.693
angles: 90.00 90.00 90.00
Space group P4/mmm (No. 123)
Unique sites:
Ta 0.000 0.500 0.000
Zn 0.000 0.000 0.500
Cd 0.500 0.500 0.500
F 0.000 0.000 0.000

Final energy (eV/atom): -35.936

***

Here are the calculated E_form (uncorrected) numbers, same order: -0.10 0.19 (eV per atom).